[1]
This record from the Alexandria database describes an optimized crystal structure of InGeSb2I. The functional is PBE.

a = 5.643 Å, b = 5.643 Å, c = 5.756 Å
α = 90.00°, β = 90.00°, γ = 90.00°
Sites, in units of the cell vectors:
In1 0.000 0.000 0.000
Ge1 0.500 0.500 0.500
Sb1 0.000 0.500 0.000
Sb2 0.500 0.000 0.000
I1 0.000 0.000 0.500

Computed properties:
Space-group type: P4/mmm, No. 123
Formation energy (no corrections) in eV per atom: 0.80
DOS at the Fermi energy in states/eV per cell: 6.70

---

[2]
This record from the Alexandria database describes an optimized crystal structure of V2Ga3. The functional is PBE.

a = 10.462 Å, b = 9.801 Å, c = 6.102 Å
α = 78.50°, β = 66.64°, γ = 34.86°
Sites, in units of the cell vectors:
V1 0.059 0.059 0.191
V2 0.104 0.104 0.646
V3 0.191 0.191 0.059
V4 0.354 0.354 0.896
V5 0.646 0.646 0.104
V6 0.809 0.809 0.941
V7 0.896 0.896 0.354
V8 0.941 0.941 0.809
Ga1 0.037 0.418 0.718
Ga2 0.200 0.550 0.550
Ga3 0.282 0.674 0.963
Ga4 0.326 0.718 0.418
Ga5 0.418 0.037 0.326
Ga6 0.450 0.800 0.800
Ga7 0.550 0.200 0.200
Ga8 0.582 0.963 0.674
Ga9 0.674 0.282 0.582
Ga10 0.718 0.326 0.037
Ga11 0.800 0.450 0.450
Ga12 0.963 0.582 0.282

Computed properties:
Space-group type: Fddd, No. 70
Formation enthalpy at 0 K in eV per atom: 0.145
DOS at the Fermi energy in states/eV per cell: 15.86

---

[3]
This record from the Alexandria database describes an optimized crystal structure of Tb8ScCd2. The functional is PBE.

a = 8.729 Å, b = 8.729 Å, c = 5.536 Å
α = 101.32°, β = 101.32°, γ = 120.24°
Sites, in units of the cell vectors:
Tb1 0.096 0.319 0.614
Tb2 0.214 0.786 0.000
Tb3 0.319 0.096 0.614
Tb4 0.393 0.393 0.200
Tb5 0.607 0.607 0.800
Tb6 0.681 0.904 0.386
Tb7 0.786 0.214 0.000
Tb8 0.904 0.681 0.386
Sc1 0.000 0.000 0.000
Cd1 0.304 0.696 0.500
Cd2 0.696 0.304 0.500

Computed properties:
Space-group type: C2/m, No. 12
Formation enthalpy at 0 K in eV per atom: 0.030
DOS at the Fermi energy in states/eV per cell: 15.04

---

[4]
This record from the Alexandria database describes an optimized crystal structure of NaAl2TlHg. The functional is PBE.

a = 5.377 Å, b = 5.377 Å, c = 5.849 Å
α = 90.00°, β = 90.00°, γ = 90.00°
Sites, in units of the cell vectors:
Na1 0.000 0.000 0.000
Al1 0.000 0.500 0.500
Al2 0.500 0.000 0.500
Tl1 0.000 0.000 0.500
Hg1 0.500 0.500 0.000

Computed properties:
Space-group type: P4/mmm, No. 123
Formation enthalpy at 0 K in eV per atom: 0.515
DOS at the Fermi energy in states/eV per cell: 1.99

---

[5]
This record from the Alexandria database describes an optimized crystal structure of LiTbHoSb. The functional is PBE.

a = 5.195 Å, b = 5.195 Å, c = 5.195 Å
α = 60.00°, β = 60.00°, γ = 60.00°
Sites, in units of the cell vectors:
Li1 0.000 0.000 0.000
Tb1 0.250 0.250 0.250
Ho1 0.750 0.750 0.750
Sb1 0.500 0.500 0.500

Computed properties:
Space-group type: F-43m, No. 216
Formation energy (no corrections) in eV per atom: -0.43
DOS at the Fermi energy in states/eV per cell: 3.00

---

[6]
This record from the Alexandria database describes an optimized crystal structure of Zr2Hg2S. The functional is PBE.

a = 6.770 Å, b = 6.770 Å, c = 4.856 Å
α = 90.00°, β = 90.00°, γ = 90.00°
Sites, in units of the cell vectors:
Zr1 0.167 0.333 0.000
Zr2 0.333 0.833 0.000
Zr3 0.667 0.167 0.000
Zr4 0.833 0.667 0.000
Hg1 0.153 0.653 0.500
Hg2 0.347 0.153 0.500
Hg3 0.653 0.847 0.500
Hg4 0.847 0.347 0.500
S1 0.000 0.000 0.000
S2 0.500 0.500 0.000

Computed properties:
Space-group type: P4/mbm, No. 127
Formation energy (no corrections) in eV per atom: -0.61
DOS at the Fermi energy in states/eV per cell: 5.33

---

Q: Among the records above, which one has the highest DOS at the Fermi energy?
A: V2Ga3